# 1
Cs3Mg2Te4 | PBE | relaxed

Unit cell a=4.4430 b=10.6332 c=10.8660 alpha=62.89 beta=78.21 gamma=77.94
Last column: nearest neighbours and their distance in Å.
Atoms (fractional coordinates):
Cs 0.0000 0.0000 0.0000  6 Te 3.91-3.98
Cs 0.1202 0.3361 0.4224  6 Te 3.90-3.99
Cs 0.8798 0.6639 0.5776  6 Te 3.90-3.99
Mg 0.3232 0.3963 0.9565  4 Te 2.79-2.88
Mg 0.6768 0.6037 0.0435  4 Te 2.79-2.88
Te 0.2192 0.7012 0.8610  3 Mg 2.83-2.88
Te 0.4740 0.3113 0.7407  1 Mg 2.79
Te 0.5260 0.6887 0.2593  1 Mg 2.79
Te 0.7808 0.2988 0.1390  3 Mg 2.83-2.88

Properties
Magnetic moment (μB per cell): 0.26
Mass density (kg/m³): 3587
Energy (eV per formula unit): -26.706

# 2
Cs2Th2MgTe6 | PBE | relaxed

Unit cell a=7.8040 b=7.8040 c=9.5769 alpha=97.97 beta=97.97 gamma=119.95
Last column: nearest neighbours and their distance in Å.
Atoms (fractional coordinates):
Cs 0.1679 0.8321 0.0000  6 Te 3.87-3.88
Cs 0.8321 0.1679 0.0000  6 Te 3.87-3.88
Th 0.3329 0.6671 0.5000  6 Te 3.15
Th 0.6671 0.3329 0.5000  6 Te 3.15
Mg 0.0000 0.0000 0.5000  6 Te 3.06-3.09
Te 0.0655 0.3917 0.6889  1 Mg 3.09, 2 Th 3.15
Te 0.2617 0.2617 0.3137  1 Mg 3.06, 2 Th 3.15
Te 0.3917 0.0655 0.6889  1 Mg 3.09, 2 Th 3.15
Te 0.6083 0.9345 0.3111  1 Mg 3.09, 2 Th 3.15
Te 0.7383 0.7383 0.6863  1 Mg 3.06, 2 Th 3.15
Te 0.9345 0.6083 0.3111  1 Mg 3.09, 2 Th 3.15

Properties
Magnetic moment (μB per cell): 0.00
Mass density (kg/m³): 5197
Energy (eV per formula unit): -49.774

# 3
CsThMgTe4 | PBE | relaxed

Unit cell a=7.9728 b=6.5467 c=10.9883 alpha=90.00 beta=107.66 gamma=90.00
Last column: nearest neighbours and their distance in Å.
Atoms (fractional coordinates):
Cs 0.2419 0.2500 0.0475  6 Te 3.80-4.13
Cs 0.7581 0.7500 0.9525  6 Te 3.80-4.13
Th 0.2599 0.2500 0.5541  6 Te 3.12-3.33
Th 0.7401 0.7500 0.4459  6 Te 3.12-3.33
Mg 0.2674 0.7500 0.3285  4 Te 2.70-2.81
Mg 0.7326 0.2500 0.6715  4 Te 2.70-2.81
Te 0.0202 0.5103 0.6925  1 Mg 2.81, 1 Te 3.14
Te 0.0202 0.9897 0.6925  1 Mg 2.81, 1 Te 3.14
Te 0.4389 0.7500 0.5873  1 Mg 2.76
Te 0.4708 0.7500 0.1720  1 Mg 2.70
Te 0.5292 0.2500 0.8280  1 Mg 2.70
Te 0.5611 0.2500 0.4127  1 Mg 2.76
Te 0.9798 0.0103 0.3075  1 Mg 2.81, 1 Te 3.14
Te 0.9798 0.4897 0.3075  1 Mg 2.81, 1 Te 3.14

Properties
Magnetic moment (μB per cell): 0.00
Mass density (kg/m³): 5467
Energy (eV per formula unit): -29.488

# 4
Cs3Mg2UTe6 | PBE | relaxed

Unit cell a=7.7425 b=7.7425 c=9.2310 alpha=98.01 beta=98.01 gamma=120.05
Last column: nearest neighbours and their distance in Å.
Atoms (fractional coordinates):
Cs 0.0000 0.0000 0.0000  6 Te 3.82-3.83
Cs 0.3311 0.6689 0.0000  6 Te 3.81-3.82
Cs 0.6689 0.3311 0.0000  6 Te 3.81-3.82
Mg 0.1662 0.8338 0.5000  6 Te 3.05-3.06
Mg 0.8338 0.1662 0.5000  6 Te 3.05-3.06
U 0.5000 0.5000 0.5000  6 Te 3.03
Te 0.1082 0.4391 0.3181  1 U 3.03, 2 Mg 3.05-3.06
Te 0.2305 0.2305 0.6833  1 U 3.03, 2 Mg 3.05
Te 0.4391 0.1082 0.3181  1 U 3.03, 2 Mg 3.05-3.06
Te 0.5609 0.8918 0.6819  1 U 3.03, 2 Mg 3.05-3.06
Te 0.7695 0.7695 0.3167  1 U 3.03, 2 Mg 3.05
Te 0.8918 0.5609 0.6819  1 U 3.03, 2 Mg 3.05-3.06

Properties
Magnetic moment (μB per cell): 1.00
Mass density (kg/m³): 5238
Energy (eV per formula unit): -46.416

# 5
Cs2MgUTe4 | PBE | relaxed

Unit cell a=7.6741 b=7.6741 c=7.6741 alpha=104.75 beta=104.75 gamma=119.40
Last column: nearest neighbours and their distance in Å.
Atoms (fractional coordinates):
Cs 0.0000 0.5000 0.5000  2 Cs 3.87, 8 Te 3.97-4.03
Cs 0.5000 0.0000 0.5000  2 Cs 3.87, 8 Te 3.97-4.03
Mg 0.0000 0.0000 0.0000  4 Te 2.87
U 0.5000 0.5000 0.0000  4 Te 2.96
Te 0.0771 0.4063 0.0000  1 Mg 2.87, 1 U 2.96
Te 0.4063 0.0771 0.0000  1 Mg 2.87, 1 U 2.96
Te 0.5937 0.5937 0.6709  1 Mg 2.87, 1 U 2.96
Te 0.9229 0.9229 0.3291  1 Mg 2.87, 1 U 2.96

Properties
Magnetic moment (μB per cell): 2.00
Mass density (kg/m³): 5073
Energy (eV per formula unit): -33.345

# 6
Cs3MgU2Te6 | PBE | relaxed

Unit cell a=7.8816 b=7.8816 c=9.2911 alpha=98.13 beta=98.13 gamma=120.01
Last column: nearest neighbours and their distance in Å.
Atoms (fractional coordinates):
Cs 0.0000 0.0000 0.0000  6 Te 3.82-3.85
Cs 0.3330 0.6670 0.0000  6 Te 3.82-3.85
Cs 0.6670 0.3330 0.0000  6 Te 3.82-3.85
Mg 0.5000 0.5000 0.5000  6 Te 3.09
U 0.1666 0.8334 0.5000  6 Te 3.12
U 0.8334 0.1666 0.5000  6 Te 3.12
Te 0.1080 0.4376 0.3129  1 Mg 3.09, 2 U 3.12
Te 0.2327 0.2327 0.6874  1 Mg 3.09, 2 U 3.12
Te 0.4376 0.1080 0.3129  1 Mg 3.09, 2 U 3.12
Te 0.5624 0.8920 0.6871  1 Mg 3.09, 2 U 3.12
Te 0.7673 0.7673 0.3126  1 Mg 3.09, 2 U 3.12
Te 0.8920 0.5624 0.6871  1 Mg 3.09, 2 U 3.12

Properties
Magnetic moment (μB per cell): 5.00
Mass density (kg/m³): 5766
Energy (eV per formula unit): -56.117